(1)
# LaZnIn (PBE, optimized geometry)
data_LaZnIn
_cell_length_a 10.695
_cell_length_b 4.504
_cell_length_c 7.573
_cell_angle_alpha 90.00
_cell_angle_beta 119.66
_cell_angle_gamma 90.00
_symmetry_space_group_name_H-M 'C 1 m 1'
_symmetry_Int_Tables_number 8
loop_
_symmetry_equiv_pos_as_xyz
'x,y,z'
'x,-y,z'
'x+1/2,y+1/2,z'
'x+1/2,-y+1/2,z'
loop_
_atom_site_label
_atom_site_type_symbol
_atom_site_fract_x
_atom_site_fract_y
_atom_site_fract_z
La1 La 0.000 0.000 0.000
La2 La 0.236 0.000 0.550
Zn1 Zn 0.288 0.000 0.988
Zn2 Zn 0.499 0.000 0.340
In1 In 0.112 0.500 0.767
In2 In 0.316 0.500 0.280
# * volume: 26.4 Å³ per atom
# * energy of formation: -0.3431 eV/atom
# * DOS at the Fermi energy: 10.40 states/eV per cell
# * E: -3.32 eV/atom

***

(2)
# LiAg2Cl (PBE, optimized geometry)
data_LiAg2Cl
_cell_length_a 9.637
_cell_length_b 9.637
_cell_length_c 4.457
_cell_angle_alpha 90.00
_cell_angle_beta 90.00
_cell_angle_gamma 90.00
_symmetry_space_group_name_H-M 'I -4 2 d'
_symmetry_Int_Tables_number 122
_symmetry_space_group_name_Hall 'I -4 2bw'
loop_
_atom_site_label
_atom_site_type_symbol
_atom_site_fract_x
_atom_site_fract_y
_atom_site_fract_z
Li1 Li 0.000 0.000 0.000
Ag1 Ag 0.171 0.250 0.625
Cl1 Cl 0.000 0.000 0.500
# * raw formation energy: -89.0 kJ/mol of formula units
# * E above lowest polymorph: 32.8 kJ/mol of atoms
# * volume: 25.9 Å³ per atom
# * DOS at the Fermi energy: 0.00 states/eV per cell
# * E: -2.60 eV/atom

***

(3)
# HfVMo2Pd (PBE, optimized geometry)
data_HfVMo2Pd
_cell_length_a 4.745
_cell_length_b 4.745
_cell_length_c 4.559
_cell_angle_alpha 90.00
_cell_angle_beta 90.00
_cell_angle_gamma 90.00
_symmetry_space_group_name_H-M 'P 4/m m m'
_symmetry_Int_Tables_number 123
_symmetry_space_group_name_Hall '-P 4 2'
loop_
_atom_site_label
_atom_site_type_symbol
_atom_site_fract_x
_atom_site_fract_y
_atom_site_fract_z
Hf1 Hf 0.000 0.000 0.000
V1 V 0.000 0.000 0.500
Mo1 Mo 0.000 0.500 0.000
Pd1 Pd 0.500 0.500 0.500
# * volume: 20.5 Å³ per atom
# * energy of formation: 1.9043 eV/atom
# * DOS at the Fermi energy: 7.74 states/eV per cell
# * E: -7.28 eV/atom

***

(4)
# TiTe2SO (PBE, optimized geometry)
data_TiTe2SO
_cell_length_a 5.246
_cell_length_b 5.246
_cell_length_c 4.453
_cell_angle_alpha 90.00
_cell_angle_beta 90.00
_cell_angle_gamma 90.00
_symmetry_space_group_name_H-M 'P 4/m m m'
_symmetry_Int_Tables_number 123
_symmetry_space_group_name_Hall '-P 4 2'
loop_
_atom_site_label
_atom_site_type_symbol
_atom_site_fract_x
_atom_site_fract_y
_atom_site_fract_z
Ti1 Ti 0.000 0.000 0.000
Te1 Te 0.000 0.500 0.500
S1 S 0.000 0.000 0.500
O1 O 0.500 0.500 0.000
# * raw formation energy: 343.5 kJ/mol of formula units
# * volume: 24.5 Å³ per atom
# * DOS at the Fermi energy: 6.24 states/eV per cell
# * E: -3.94 eV/atom

***

(5)
# K3CeNb2O8 (PBE, optimized geometry)
data_K3CeNb2O8
_cell_length_a 6.3217
_cell_length_b 6.3217
_cell_length_c 7.8488
_cell_angle_alpha 90.00
_cell_angle_beta 90.00
_cell_angle_gamma 120.00
_symmetry_space_group_name_H-M 'P -3 m 1'
_symmetry_Int_Tables_number 164
_symmetry_space_group_name_Hall '-P 3 2"'
loop_
_atom_site_label
_atom_site_type_symbol
_atom_site_fract_x
_atom_site_fract_y
_atom_site_fract_z
K1 K 0.0000 0.0000 0.0000
K2 K 0.3333 0.6667 0.6752
Ce1 Ce 0.0000 0.0000 0.5000
Nb1 Nb 0.3333 0.6667 0.2262
O1 O 0.1719 0.3438 0.3153
O2 O 0.3333 0.6667 0.9944
# * raw formation energy: -3406.2 kJ/mol of formula units
# * volume: 19.4 Å³ per atom
# * DOS at the Fermi energy: 3.96 states/eV per cell
# * E: -7.45 eV/atom

***

(6)
# PrP2OsRu (PBE, optimized geometry)
data_PrP2OsRu
_cell_length_a 4.067
_cell_length_b 4.067
_cell_length_c 10.560
_cell_angle_alpha 90.00
_cell_angle_beta 90.00
_cell_angle_gamma 90.00
_symmetry_space_group_name_H-M 'I -4 m 2'
_symmetry_Int_Tables_number 119
_symmetry_space_group_name_Hall 'I -4 -2'
loop_
_atom_site_label
_atom_site_type_symbol
_atom_site_fract_x
_atom_site_fract_y
_atom_site_fract_z
Pr1 Pr 0.000 0.000 0.000
P1 P 0.000 0.000 0.361
Os1 Os 0.000 0.500 0.250
Ru1 Ru 0.000 0.500 0.750
# * volume: 17.5 Å³ per atom
# * energy of formation: -0.8699 eV/atom
# * DOS at the Fermi energy: 4.51 states/eV per cell
# * E: -8.09 eV/atom